## CuTc2Ir (PBE-GGA)

Data for crystalline CuTc2Ir at its relaxed geometry. Values from VASP.

- ΔE to the lowest computed polymorph (meV per atom) = 70
- calculated formation energy (eV/atom) = 0.112
- symmetry = No. 12
- spin magnetization (μB per cell) = 0.00

```
&SYSTEM
  ibrav = 0, nat = 4, ntyp = 3
/
ATOMIC_SPECIES
Cu 63.55 Cu.upf
Ir 192.22 Ir.upf
Tc 98.00 Tc.upf
CELL_PARAMETERS angstrom
-1.685 -1.838 -4.060
-0.138 -3.770 -2.911
-3.764 -2.057 1.610
ATOMIC_POSITIONS crystal
Cu 0.250 0.250 0.250
Ir 0.750 0.750 0.750
Tc 0.005 0.005 0.998
Tc 0.495 0.495 0.502
```